Here is an optimized crystal structure of BeNb2B4Mo2 from Alexandria via LeMat-Bulk. Energies are from PBE.

The structure in extended XYZ format:
```
9
Lattice="-2.734 2.734 3.457 2.734 -2.734 3.457 2.734 2.734 -3.457" Properties=species:S:1:pos:R:3 pbc="T T T"
Be 0.000 0.000 0.000
Nb 2.734 0.000 1.729
Nb 0.000 2.734 1.729
B 1.344 1.344 0.000
B 1.391 -1.391 3.457
B -1.391 1.391 3.457
B 1.391 1.391 3.457
Mo 0.000 0.000 2.249
Mo 0.000 0.000 4.665
```

Computed properties:
For the theoretical density, the calculation gives 6.905 g/cm3. The value obtained for the formation energy from the elements is 39 kJ/mol of atoms. The volume is 103 Å³ per cell. Its size of the total moment is 0.0000 μB per atom.